--- P ---
A geometry-optimized LiZr2Re structure, computed with PBE.

Lattice parameters (Å, degrees): 4.6897 4.6897 4.6897 60.00 60.00 60.00
Positions (direct):
Re1 0.5000 0.5000 0.5000
Li1 0.0000 0.0000 0.0000
Zr1 0.2500 0.2500 0.2500
Zr2 0.7500 0.7500 0.7500

--- Q ---
A geometry-optimized LiZr2Re structure, computed with PBE.

Lattice parameters (Å, degrees): 7.2685 7.2685 5.8922 51.92 51.92 90.00
Positions (direct):
Re1 0.0000 0.0000 0.0000
Li1 0.2500 0.7500 0.5000
Li2 0.5000 0.5000 0.0000
Zr1 0.3750 0.3743 0.7500
Zr2 0.8750 0.8757 0.7500
Zr3 0.6257 0.1250 0.2500
Zr4 0.1243 0.6250 0.2500
Re2 0.7500 0.2500 0.5000

--- R ---
A geometry-optimized LiZr2Re structure, computed with PBE.

Lattice parameters (Å, degrees): 4.6662 4.6665 3.3386 90.00 90.00 90.00
Positions (direct):
Li1 0.5000 0.0000 0.5000
Re1 0.0000 0.5000 0.5000
Zr1 0.5000 0.5000 0.0000
Zr2 0.0000 0.0000 0.0000

Order from most stable to least stable according to the calculation: P, R, Q

--- P ---
A geometry-optimized Li2ZrRe structure, computed with PBE.

Lattice parameters (Å, degrees): 10.4938 10.4938 10.4938 15.21 15.21 15.21
Each line ends with the local moment (μB).
Positions (direct):
Li1 0.9911 0.9911 0.9911  0.00
Li2 0.5089 0.5089 0.5089  0.00
Zr1 0.7500 0.7500 0.7500  0.00
Re1 0.2500 0.2500 0.2500  0.29

--- Q ---
A geometry-optimized Li2ZrRe structure, computed with PBE.

Lattice parameters (Å, degrees): 4.5470 4.5470 4.5470 60.00 60.00 60.00
Positions (direct):
Zr1 0.7500 0.7500 0.7500
Li1 0.2500 0.2500 0.2500
Li2 0.0000 0.0000 0.0000
Re1 0.5000 0.5000 0.5000

--- R ---
A geometry-optimized Li2ZrRe structure, computed with PBE.

Lattice parameters (Å, degrees): 4.3828 4.3828 4.3828 60.00 60.00 60.00
Positions (direct):
Li1 0.2500 0.2500 0.2500
Li2 0.7500 0.7500 0.7500
Re1 0.5000 0.5000 0.5000
Zr1 0.0000 0.0000 0.0000

--- S ---
A geometry-optimized Li2ZrRe structure, computed with PBE.

Lattice parameters (Å, degrees): 10.4068 10.4068 10.4068 15.60 15.60 15.60
Positions (direct):
Re1 0.5042 0.5042 0.5042
Li1 0.2449 0.2449 0.2449
Li2 0.9964 0.9964 0.9964
Zr1 0.7545 0.7545 0.7545

Order from most stable to least stable according to the calculation: S, P, Q, R

--- P ---
A geometry-optimized Li2ZrRe structure, computed with PBE.

Lattice parameters (Å, degrees): 2.7803 2.7803 9.7045 90.00 90.00 108.57
Positions (direct):
Zr1 0.5000 0.5000 0.7283
Li1 0.0000 0.0000 0.0094
Re1 0.0000 0.0000 0.4924
Li2 0.5000 0.5000 0.2699

--- Q ---
A geometry-optimized Li2ZrRe structure, computed with PBE.

Lattice parameters (Å, degrees): 4.8873 4.8873 5.4843 83.72 83.72 31.35
Positions (direct):
Li1 0.2504 0.2504 0.2535
Zr1 0.7509 0.7509 0.7309
Re1 0.5057 0.5057 0.4954
Li2 0.9930 0.9930 0.0201

--- R ---
A geometry-optimized Li2ZrRe structure, computed with PBE.

Lattice parameters (Å, degrees): 5.0012 5.0012 5.0012 142.51 123.19 70.07
Positions (direct):
Zr1 0.2471 0.7471 0.5000
Li1 0.7664 0.2664 0.5000
Re1 0.5140 0.5140 0.0000
Li2 0.9725 0.9725 0.0000

--- S ---
A geometry-optimized Li2ZrRe structure, computed with PBE.

Lattice parameters (Å, degrees): 3.3305 3.3305 6.5307 90.00 90.00 90.00
Positions (direct):
Li1 0.0000 0.0000 0.0412
Zr1 0.5000 0.5000 0.7002
Re1 0.0000 0.0000 0.4943
Li2 0.5000 0.5000 0.2642

Order from most stable to least stable according to the calculation: P, S, Q, R

--- P ---
A geometry-optimized Li2ZrRe structure, computed with PBE.

Lattice parameters (Å, degrees): 5.3580 5.3580 5.3580 138.41 138.41 60.28
Positions (direct):
Re1 0.2500 0.7500 0.5000
Zr1 0.7500 0.2500 0.5000
Li1 0.0000 0.0000 0.0000
Li2 0.5000 0.5000 0.0000

--- Q ---
A geometry-optimized Li2ZrRe structure, computed with PBE.

Lattice parameters (Å, degrees): 4.4782 2.6204 5.9153 79.08 90.00 90.00
Positions (direct):
Li1 0.0000 0.0991 0.0323
Re1 0.0000 0.4531 0.4939
Zr1 0.5000 0.7883 0.7251
Li2 0.5000 0.1595 0.2487

--- R ---
A geometry-optimized Li2ZrRe structure, computed with PBE.

Lattice parameters (Å, degrees): 5.0149 2.7148 5.0591 80.80 90.00 90.00
Positions (direct):
Li1 0.0000 0.0230 0.0312
Li2 0.0000 0.4770 0.4688
Re1 0.5000 0.2500 0.2500
Zr1 0.5000 0.7500 0.7500

--- S ---
A geometry-optimized Li2ZrRe structure, computed with PBE.

Lattice parameters (Å, degrees): 4.7777 3.7839 3.7839 90.00 90.00 90.00
Positions (direct):
Li1 0.0000 0.0000 0.0000
Li2 0.0000 0.5000 0.5000
Zr1 0.5000 0.0000 0.5000
Re1 0.5000 0.5000 0.0000

Order from most stable to least stable according to the calculation: R, Q, P, S

--- P ---
A geometry-optimized Li2ZrRe structure, computed with PBE.

Lattice parameters (Å, degrees): 4.7185 4.7185 2.6852 90.00 90.00 90.00
Positions (direct):
Li1 0.5000 0.5000 0.0000
Li2 0.0000 0.0000 0.0000
Re1 0.5000 0.0000 0.5000
Zr1 0.0000 0.5000 0.5000

--- Q ---
A geometry-optimized Li2ZrRe structure, computed with PBE.

Lattice parameters (Å, degrees): 5.8496 5.8496 4.5183 65.95 65.95 29.79
Positions (direct):
Zr1 0.7500 0.7500 0.7500
Li1 0.5179 0.5179 0.4840
Li2 0.9821 0.9821 0.0160
Re1 0.2500 0.2500 0.2500

Order from most stable to least stable according to the calculation: Q, P

--- P ---
A geometry-optimized LiZrRe structure, computed with PBE.

Lattice parameters (Å, degrees): 4.4243 4.4243 4.4243 60.00 60.00 60.00
Positions (direct):
Zr1 0.2500 0.2500 0.2500
Re1 0.5000 0.5000 0.5000
Li1 0.0000 0.0000 0.0000

--- Q ---
A geometry-optimized LiZrRe structure, computed with PBE.

Lattice parameters (Å, degrees): 4.8769 4.8769 4.8769 139.16 139.16 59.13
Positions (direct):
Zr1 0.6716 0.6716 0.0000
Re1 0.3384 0.3384 0.0000
Li1 0.9901 0.9901 0.0000

--- R ---
A geometry-optimized LiZrRe structure, computed with PBE.

Lattice parameters (Å, degrees): 2.7514 2.7511 7.4688 97.49 97.77 107.62
Positions (direct):
Zr1 0.4524 0.9141 0.6576
Re1 0.1090 0.5674 0.9769
Li1 0.7634 0.2182 0.2766

Order from most stable to least stable according to the calculation: Q, R, P